First-principles (PBE) data for an optimized crystal structure of Tb2PuMg, as listed in Alexandria.

Values from the calculation:
As for the symmetry: No. 8. Its crystal system is monoclinic. The offset from the most stable computed form comes out at 71 meV per atom.

Unit cell a=3.436 b=3.436 c=11.484 alpha=81.49 beta=81.49 gamma=60.09
Each line ends with the local moment (μB).
Sites, in units of the cell vectors:
Pu 0.667 0.667 0.000  -5.46
Tb 0.082 0.082 0.752  0.00
Tb 0.251 0.251 0.249  -0.03
Mg 0.500 0.500 0.500  0.00

---

First-principles (PBE) data for an optimized crystal structure of Tb4PuMg5, as listed in Alexandria.

Values from the calculation:
As for the symmetry: No. 123. Its crystal system is tetragonal.

Unit cell a=3.791 b=3.791 c=18.993 alpha=90.00 beta=90.00 gamma=90.00
Each line ends with the local moment (μB).
Sites, in units of the cell vectors:
Pu 0.000 0.000 0.000  5.59
Mg 0.500 0.500 0.500  0.00
Tb 0.000 0.000 0.799  0.00
Tb 0.000 0.000 0.201  0.00
Tb 0.000 0.000 0.600  0.07
Mg 0.500 0.500 0.102  0.00
Mg 0.500 0.500 0.898  0.00
Tb 0.000 0.000 0.400  0.07
Mg 0.500 0.500 0.699  0.01
Mg 0.500 0.500 0.301  0.01

---

First-principles (PBE) data for an optimized crystal structure of Tb2PuMg, as listed in Alexandria.

Values from the calculation:
As for the symmetry: No. 225. Its crystal system is cubic. The offset from the most stable computed form comes out at 93 meV per atom.

Unit cell a=5.465 b=5.465 c=5.465 alpha=60.00 beta=60.00 gamma=60.00
Each line ends with the local moment (μB).
Sites, in units of the cell vectors:
Pu 0.500 0.500 0.500  5.53
Tb 0.250 0.250 0.250  0.18
Mg 0.000 0.000 0.000  -0.01
Tb 0.750 0.750 0.750  0.18

---

First-principles (PBE) data for an optimized crystal structure of TbPu4Mg, as listed in Alexandria.

Values from the calculation:
As for the symmetry: No. 216. Its crystal system is cubic.

Unit cell a=6.150 b=6.150 c=6.150 alpha=60.00 beta=60.00 gamma=60.00
Each line ends with the local moment (μB).
Sites, in units of the cell vectors:
Pu 0.625 0.124 0.625  5.47
Pu 0.625 0.625 0.124  5.47
Tb 0.250 0.250 0.250  0.17
Mg 0.000 0.000 0.000  -0.01
Pu 0.625 0.625 0.625  5.47
Pu 0.124 0.625 0.625  5.47

---

First-principles (PBE) data for an optimized crystal structure of TbPu2Mg, as listed in Alexandria.

Values from the calculation:
As for the symmetry: No. 123. Its crystal system is tetragonal. The offset from the most stable computed form comes out at 0 meV per atom.

Unit cell a=5.237 b=4.555 c=4.555 alpha=90.00 beta=90.00 gamma=90.00
Each line ends with the local moment (μB).
Sites, in units of the cell vectors:
Tb 0.500 0.000 0.000  0.33
Mg 0.500 0.500 0.500  0.00
Pu 0.000 0.500 0.000  5.65
Pu 0.000 0.000 0.500  5.65

---

First-principles (PBE) data for an optimized crystal structure of Tb2PuMg, as listed in Alexandria.

Values from the calculation:
As for the symmetry: No. 166. Its crystal system is trigonal. The offset from the most stable computed form comes out at 238 meV per atom.

Unit cell a=3.365 b=3.365 c=12.237 alpha=82.10 beta=82.10 gamma=60.00
Each line ends with the local moment (μB).
Sites, in units of the cell vectors:
Tb 0.909 0.909 0.273  0.06
Mg 0.500 0.500 0.500  0.00
Tb 0.091 0.091 0.727  0.06
Pu 0.000 0.000 0.000  5.76

---

First-principles (PBE) data for an optimized crystal structure of TbPu2Mg, as listed in Alexandria.

Values from the calculation:
As for the symmetry: No. 123. Its crystal system is tetragonal. The offset from the most stable computed form comes out at 118 meV per atom.

Unit cell a=4.122 b=4.122 c=6.659 alpha=90.00 beta=90.00 gamma=90.00
Each line ends with the local moment (μB).
Sites, in units of the cell vectors:
Mg 0.500 0.500 0.000  0.01
Pu 0.000 0.000 0.236  5.70
Pu 0.000 0.000 0.764  5.70
Tb 0.500 0.500 0.500  0.48

---

First-principles (PBE) data for an optimized crystal structure of Tb2PuMg, as listed in Alexandria.

Values from the calculation:
As for the symmetry: No. 123. Its crystal system is tetragonal. The offset from the most stable computed form comes out at 37 meV per atom.

Unit cell a=3.621 b=5.569 c=5.569 alpha=90.00 beta=90.00 gamma=90.00
Each line ends with the local moment (μB).
Sites, in units of the cell vectors:
Pu 0.500 0.500 0.500  5.55
Tb 0.000 0.000 0.500  0.23
Tb 0.000 0.500 0.000  0.23
Mg 0.500 0.000 0.000  -0.01

---

First-principles (PBE) data for an optimized crystal structure of Tb2PuMg, as listed in Alexandria.

Values from the calculation:
As for the symmetry: No. 123. Its crystal system is tetragonal. The offset from the most stable computed form comes out at 0 meV per atom.

Unit cell a=3.475 b=3.475 c=9.450 alpha=90.00 beta=90.00 gamma=90.00
Each line ends with the local moment (μB).
Sites, in units of the cell vectors:
Mg 0.500 0.500 0.000  -0.01
Tb 0.000 0.000 0.244  0.09
Tb 0.000 0.000 0.756  0.09
Pu 0.500 0.500 0.500  5.47

---

First-principles (PBE) data for an optimized crystal structure of TbPuThMg, as listed in Alexandria.

Values from the calculation:
As for the symmetry: No. 216. Its crystal system is cubic.

Unit cell a=5.449 b=5.449 c=5.449 alpha=60.00 beta=60.00 gamma=60.00
Each line ends with the local moment (μB).
Sites, in units of the cell vectors:
Mg 0.500 0.500 0.500  -0.02
Tb 0.750 0.750 0.750  0.18
Th 0.250 0.250 0.250  0.35
Pu 0.000 0.000 0.000  5.57

---

First-principles (PBE) data for an optimized crystal structure of TbPuMgTl, as listed in Alexandria.

Values from the calculation:
As for the symmetry: No. 216. Its crystal system is cubic.

Unit cell a=5.378 b=5.378 c=5.378 alpha=60.00 beta=60.00 gamma=60.00
Each line ends with the local moment (μB).
Sites, in units of the cell vectors:
Tb 0.750 0.750 0.750  0.26
Mg 0.000 0.000 0.000  0.01
Tl 0.500 0.500 0.500  -0.04
Pu 0.250 0.250 0.250  5.53

---

First-principles (PBE) data for an optimized crystal structure of TbTmPuMg, as listed in Alexandria.

Values from the calculation:
As for the symmetry: No. 216. Its crystal system is cubic.

Unit cell a=5.430 b=5.430 c=5.430 alpha=60.00 beta=60.00 gamma=60.00
Each line ends with the local moment (μB).
Sites, in units of the cell vectors:
Mg 0.750 0.750 0.750  -0.01
Tb 0.000 0.000 0.000  0.20
Pu 0.250 0.250 0.250  5.52
Tm 0.500 0.500 0.500  0.20

---

First-principles (PBE) data for an optimized crystal structure of TbYPuMg, as listed in Alexandria.

Values from the calculation:
As for the symmetry: No. 216. Its crystal system is cubic.

Unit cell a=5.470 b=5.470 c=5.470 alpha=60.00 beta=60.00 gamma=60.00
Each line ends with the local moment (μB).
Sites, in units of the cell vectors:
Pu 0.750 0.750 0.750  5.54
Y 0.500 0.500 0.500  0.14
Tb 0.000 0.000 0.000  0.19
Mg 0.250 0.250 0.250  -0.01

---

First-principles (PBE) data for an optimized crystal structure of TbPuMgZn, as listed in Alexandria.

Values from the calculation:
As for the symmetry: No. 216. Its crystal system is cubic.

Unit cell a=5.200 b=5.200 c=5.200 alpha=60.00 beta=60.00 gamma=60.00
Each line ends with the local moment (μB).
Sites, in units of the cell vectors:
Pu 0.250 0.250 0.250  5.47
Zn 0.000 0.000 0.000  0.02
Mg 0.500 0.500 0.500  0.01
Tb 0.750 0.750 0.750  0.23

---

First-principles (PBE) data for an optimized crystal structure of Pu2Mg2Tc, as listed in Alexandria.

Values from the calculation:
As for the symmetry: No. 139. Its crystal system is tetragonal.

Unit cell a=3.217 b=3.217 c=11.222 alpha=98.24 beta=98.24 gamma=90.00
Each line ends with the local moment (μB).
Sites, in units of the cell vectors:
Pu 0.418 0.418 0.835  5.24
Mg 0.801 0.801 0.602  0.00
Mg 0.199 0.199 0.398  0.00
Tc 0.000 0.000 0.000  -0.80
Pu 0.582 0.582 0.165  5.24

---

First-principles (PBE) data for an optimized crystal structure of Pu2MgTc, as listed in Alexandria.

Values from the calculation:
As for the symmetry: No. 166. Its crystal system is trigonal.

Unit cell a=3.183 b=3.183 c=10.969 alpha=81.66 beta=81.66 gamma=60.00
Each line ends with the local moment (μB).
Sites, in units of the cell vectors:
Pu 0.100 0.100 0.700  5.36
Mg 0.000 0.000 0.000  0.01
Pu 0.900 0.900 0.300  5.36
Tc 0.500 0.500 0.500  -0.61

---

First-principles (PBE) data for an optimized crystal structure of Pu2MgTc, as listed in Alexandria.

Values from the calculation:
As for the symmetry: No. 123. Its crystal system is tetragonal.

Unit cell a=4.241 b=4.444 c=4.444 alpha=90.00 beta=90.00 gamma=90.00
Each line ends with the local moment (μB).
Sites, in units of the cell vectors:
Tc 0.500 0.000 0.000  -1.18
Mg 0.500 0.500 0.500  0.02
Pu 0.000 0.000 0.500  5.27
Pu 0.000 0.500 0.000  5.27

---

First-principles (PBE) data for an optimized crystal structure of Pu2MgTc, as listed in Alexandria.

Values from the calculation:
As for the symmetry: No. 123. Its crystal system is tetragonal.

Unit cell a=3.221 b=3.221 c=8.759 alpha=90.00 beta=90.00 gamma=90.00
Each line ends with the local moment (μB).
Sites, in units of the cell vectors:
Pu 0.000 0.000 0.795  5.26
Tc 0.500 0.500 0.000  -0.79
Mg 0.500 0.500 0.500  0.01
Pu 0.000 0.000 0.205  5.26

---

First-principles (PBE) data for an optimized crystal structure of PuThMgTc, as listed in Alexandria.

Values from the calculation:
As for the symmetry: No. 216. Its crystal system is cubic.

Unit cell a=4.963 b=4.963 c=4.963 alpha=60.00 beta=60.00 gamma=60.00
Each line ends with the local moment (μB).
Sites, in units of the cell vectors:
Pu 0.500 0.500 0.500  5.21
Th 0.750 0.750 0.750  0.23
Mg 0.250 0.250 0.250  0.00
Tc 0.000 0.000 0.000  -0.70

---

First-principles (PBE) data for an optimized crystal structure of TmPuMgTc, as listed in Alexandria.

Values from the calculation:
As for the symmetry: No. 216. Its crystal system is cubic.

Unit cell a=4.970 b=4.970 c=4.970 alpha=60.00 beta=60.00 gamma=60.00
Each line ends with the local moment (μB).
Sites, in units of the cell vectors:
Mg 0.750 0.750 0.750  0.02
Pu 0.500 0.500 0.500  5.21
Tm 0.000 0.000 0.000  0.08
Tc 0.250 0.250 0.250  -0.35

---

| no. | ΔE_f (eV per atom) |
| --- | --- |
| 1 | 0.124 |
| 2 | -0.015 |
| 3 | 0.146 |
| 4 | 0.300 |
| 5 | 0.164 |
| 6 | 0.291 |
| 7 | 0.282 |
| 8 | 0.090 |
| 9 | 0.053 |
| 10 | 0.172 |
| 11 | -0.046 |
| 12 | 0.148 |
| 13 | 0.148 |
| 14 | -0.003 |
| 15 | 0.021 |
| 16 | 0.301 |
| 17 | 0.208 |
| 18 | 0.028 |
| 19 | 0.161 |
| 20 | 0.106 |